Entry 1:
DFT (PBE-GGA) results for crystalline YAl2Cd at its relaxed geometry.

Unit cell a=4.392 b=4.392 c=9.167 alpha=90.00 beta=90.00 gamma=90.00
Fractional coordinates of all 8 atoms:
1 Y 0.000 0.000 0.000
2 Y 0.500 0.500 0.500
3 Al 0.000 0.500 0.250
4 Al 0.000 0.500 0.750
5 Al 0.500 0.000 0.250
6 Al 0.500 0.000 0.750
7 Cd 0.000 0.000 0.500
8 Cd 0.500 0.500 0.000


Entry 2:
DFT (PBE-GGA) results for crystalline Y6AlCd5 at its relaxed geometry.

Unit cell a=5.265 b=7.472 c=8.333 alpha=90.00 beta=108.34 gamma=90.00
Fractional coordinates of all 12 atoms:
1 Y 0.000 0.244 0.000
2 Y 0.000 0.756 0.000
3 Y 0.336 0.247 0.672
4 Y 0.336 0.753 0.672
5 Y 0.664 0.247 0.328
6 Y 0.664 0.753 0.328
7 Al 0.500 0.000 0.000
8 Cd 0.167 0.500 0.334
9 Cd 0.169 0.000 0.338
10 Cd 0.500 0.500 0.000
11 Cd 0.831 0.000 0.662
12 Cd 0.833 0.500 0.666


Entry 3:
DFT (PBE-GGA) results for crystalline Y5AlCd4 at its relaxed geometry.

Unit cell a=3.719 b=3.719 c=18.670 alpha=90.00 beta=90.00 gamma=90.00
Fractional coordinates of all 10 atoms:
1 Y 0.000 0.000 0.000
2 Y 0.000 0.000 0.203
3 Y 0.000 0.000 0.406
4 Y 0.000 0.000 0.594
5 Y 0.000 0.000 0.797
6 Al 0.500 0.500 0.500
7 Cd 0.500 0.500 0.102
8 Cd 0.500 0.500 0.305
9 Cd 0.500 0.500 0.695
10 Cd 0.500 0.500 0.898


Entry 4:
DFT (PBE-GGA) results for crystalline Y6AlCd3 at its relaxed geometry.

Unit cell a=9.302 b=5.244 c=11.602 alpha=90.00 beta=107.00 gamma=90.00
Fractional coordinates of all 20 atoms:
1 Y 0.030 0.250 0.407
2 Y 0.158 0.750 0.173
3 Y 0.267 0.250 0.004
4 Y 0.346 0.750 0.824
5 Y 0.371 0.250 0.333
6 Y 0.389 0.250 0.622
7 Y 0.611 0.750 0.378
8 Y 0.629 0.750 0.667
9 Y 0.654 0.250 0.176
10 Y 0.733 0.750 0.996
11 Y 0.842 0.250 0.827
12 Y 0.970 0.750 0.593
13 Al 0.455 0.750 0.110
14 Al 0.545 0.250 0.890
15 Cd 0.027 0.750 0.879
16 Cd 0.117 0.250 0.723
17 Cd 0.273 0.750 0.470
18 Cd 0.727 0.250 0.530
19 Cd 0.883 0.750 0.277
20 Cd 0.973 0.250 0.121


| no. | raw total energy (Ry/atom) | calculated formation energy (eV/atom) |
| --- | --- | --- |
| 1 | -0.283 | -0.1387 |
| 2 | -0.315 | -0.3667 |
| 3 | -0.319 | -0.3677 |
| 4 | -0.352 | -0.2674 |